Record 1
The following is a DFT calculation (PBE) of a geometry-optimized SrV2CoS8 structure.

Structure (POSCAR):
```
SrV2CoS8
1.0
2.971 1.715 8.129
-2.971 1.715 8.129
0.000 -3.431 8.129
Sr V Co S
1 2 1 8
Direct
0.000 0.000 0.000 Sr
0.243 0.243 0.243 V
0.757 0.757 0.757 V
0.500 0.500 0.500 Co
0.143 0.432 0.763 S
0.237 0.857 0.568 S
0.330 0.330 0.330 S
0.432 0.763 0.143 S
0.568 0.237 0.857 S
0.670 0.670 0.670 S
0.763 0.143 0.432 S
0.857 0.568 0.237 S
```

uncorrected formation energy: -625 meV per atom
final energy: -5.629 eV/atom
DOS at the Fermi energy: 10.40 states/eV per cell


Record 2
The following is a DFT calculation (PBE) of a geometry-optimized Dy4YEr7 structure.

Structure (POSCAR):
```
Dy4YEr7
1.0
6.462 0.000 0.000
0.963 6.677 0.000
2.032 0.393 8.710
Dy Y Er
4 1 7
Direct
0.137 0.306 0.286 Dy
0.340 0.884 0.690 Dy
0.660 0.116 0.310 Dy
0.863 0.694 0.714 Dy
0.500 0.500 0.000 Y
0.015 0.251 0.949 Er
0.184 0.798 0.358 Er
0.310 0.393 0.613 Er
0.500 0.000 0.000 Er
0.690 0.607 0.387 Er
0.816 0.202 0.642 Er
0.985 0.749 0.051 Er
```

relative energy among the computed polymorphs: 0.0000 eV/atom
final energy: -4.645 eV/atom
DOS at the Fermi energy: 20.35 states/eV per cell
energy of formation from the pure elements: 2.055 kcal/mol of atoms


Record 3
The following is a DFT calculation (PBE) of a geometry-optimized CeMgCo2P2 structure.

Structure (POSCAR):
```
CeMgCo2P2
1.0
3.960 0.000 0.000
-1.980 3.429 0.000
0.000 0.000 6.643
Ce Mg Co P
1 1 2 2
Direct
0.000 0.000 0.000 Ce
0.000 0.000 0.500 Mg
0.333 0.667 0.671 Co
0.667 0.333 0.329 Co
0.333 0.667 0.281 P
0.667 0.333 0.719 P
```

final energy: -6.206 eV/atom
DOS at the Fermi energy: 6.04 states/eV per cell
energy of formation from the pure elements: -17.972 kcal/mol of atoms


Results for magnetization: 0.000 0.000 0.000 (in μB per atom, following the order of the records).